No. 1
Below is an optimized crystal structure of PrGaIr2, with properties calculated at the PBE-GGA level.

abc: 7.1097 5.6660 8.9401
angles: 90.00 90.00 90.00
Site moments in Bohr magnetons follow the coordinates.
Sites, in units of the cell vectors:
Ir 0.6990 0.7500 0.9427  -0.01
Ga 0.0000 0.7500 0.7588  0.00
Pr 0.0000 0.2500 0.6395  0.00
Ir 0.3010 0.2500 0.0573  -0.01
Ir 0.6990 0.2500 0.0573  -0.01
Ir 0.0000 0.5000 0.0000  0.00
Ir 0.0000 0.0000 0.0000  0.00
Ir 0.5000 0.5000 0.5000  0.17
Pr 0.5000 0.2500 0.7919  0.00
Ga 0.0000 0.2500 0.2412  0.00
Pr 0.0000 0.7500 0.3605  0.00
Ir 0.3010 0.7500 0.9427  -0.01
Ga 0.5000 0.2500 0.2805  0.00
Ir 0.5000 0.0000 0.5000  0.17
Pr 0.5000 0.7500 0.2081  0.00
Ga 0.5000 0.7500 0.7195  0.00

Calculated values
DOS at the Fermi energy: 0.887 states/eV/atom
Space group: Pmma (51)
E_form: -32 meV/atom


No. 2
Below is an optimized crystal structure of Pr3GaPd3, with properties calculated at the PBE-GGA level.

abc: 4.2563 5.7610 14.5117
angles: 90.00 90.00 111.68
Sites, in units of the cell vectors:
Pr 0.4919 0.9839 0.7500
Pd 0.7739 0.5478 0.7500
Pr 0.2130 0.4261 0.6017
Pd 0.0734 0.1468 0.0915
Pd 0.2261 0.4522 0.2500
Pr 0.7870 0.5739 0.1017
Pd 0.9266 0.8532 0.9085
Pd 0.9266 0.8532 0.5915
Pr 0.7870 0.5739 0.3983
Pr 0.2130 0.4261 0.8983
Pd 0.0734 0.1468 0.4085
Ga 0.5000 0.0000 0.0000
Ga 0.5000 0.0000 0.5000
Pr 0.5081 0.0161 0.2500

Calculated values
DOS at the Fermi energy: 0.786 states/eV/atom
Space group: Cmcm (63)
E_form: -764 meV/atom


No. 3
Below is an optimized crystal structure of TiPN2, with properties calculated at the PBE-GGA level.

abc: 6.0213 6.0213 6.0213
angles: 28.47 28.47 28.47
Sites, in units of the cell vectors:
N 0.9001 0.9001 0.9001
P 0.0000 0.0000 0.0000
N 0.0999 0.0999 0.0999
Ti 0.5000 0.5000 0.5000

Calculated values
Formation energy from raw total energies: -2.12 eV/f.u.
DOS at the Fermi energy: 0.248 states/eV/atom
Space group: R-3m (166)


No. 4
Below is an optimized crystal structure of EuErSn, with properties calculated at the PBE-GGA level.

abc: 5.2661 5.2661 5.2661
angles: 60.00 60.00 60.00
Site moments in Bohr magnetons follow the coordinates.
Sites, in units of the cell vectors:
Sn 0.2500 0.2500 0.2500  -0.06
Er 0.0000 0.0000 0.0000  0.25
Eu 0.5000 0.5000 0.5000  6.92

Calculated values
DOS at the Fermi energy: 3.350 states/eV/atom
Space group: F-43m (216)
ΔE to the lowest computed polymorph: 0 meV per atom
E_form: -393 meV/atom


No. 5
Below is an optimized crystal structure of Hf2TcHIr, with properties calculated at the PBE-GGA level.

abc: 4.5393 4.5393 3.5407
angles: 90.00 90.00 90.00
Sites, in units of the cell vectors:
H 0.0000 0.0000 0.0000
Ir 0.0000 0.0000 0.5000
Hf 0.5000 0.0000 0.0000
Hf 0.0000 0.5000 0.0000
Tc 0.5000 0.5000 0.5000

Calculated values
DOS at the Fermi energy: 0.359 states/eV/atom
Space group: P4/mmm (123)
ΔE to the lowest computed polymorph: 33 meV per atom


No. 6
Below is an optimized crystal structure of CuAsRhO6, with properties calculated at the PBE-GGA level.

abc: 5.0098 5.0098 8.7171
angles: 90.00 90.00 120.00
Site moments in Bohr magnetons follow the coordinates.
Sites, in units of the cell vectors:
As 0.6667 0.3333 0.2500  0.00
O 0.9848 0.3475 0.1305  0.09
Rh 0.3333 0.6667 0.2500  0.28
As 0.3333 0.6667 0.7500  0.00
O 0.6525 0.0152 0.3695  0.09
O 0.9848 0.6373 0.3695  0.09
O 0.3627 0.3475 0.3695  0.09
O 0.6373 0.9848 0.8695  0.09
O 0.6373 0.6525 0.6305  0.09
Cu 0.0000 0.0000 0.0000  0.48
O 0.0152 0.6525 0.8695  0.09
O 0.3475 0.9848 0.6305  0.09
O 0.6525 0.6373 0.1305  0.09
O 0.3475 0.3627 0.8695  0.09
Rh 0.6667 0.3333 0.7500  0.28
Cu 0.0000 0.0000 0.5000  0.48
O 0.3627 0.0152 0.1305  0.09
O 0.0152 0.3627 0.6305  0.09

Calculated values
Formation energy from raw total energies: -6.60 eV/f.u.
DOS at the Fermi energy: 0.764 states/eV/atom
Space group: P-31c (163)


Please write out number 1 again, unchanged.
Below is an optimized crystal structure of PrGaIr2, with properties calculated at the PBE-GGA level.

abc: 7.1097 5.6660 8.9401
angles: 90.00 90.00 90.00
Site moments in Bohr magnetons follow the coordinates.
Sites, in units of the cell vectors:
Ir 0.6990 0.7500 0.9427  -0.01
Ga 0.0000 0.7500 0.7588  0.00
Pr 0.0000 0.2500 0.6395  0.00
Ir 0.3010 0.2500 0.0573  -0.01
Ir 0.6990 0.2500 0.0573  -0.01
Ir 0.0000 0.5000 0.0000  0.00
Ir 0.0000 0.0000 0.0000  0.00
Ir 0.5000 0.5000 0.5000  0.17
Pr 0.5000 0.2500 0.7919  0.00
Ga 0.0000 0.2500 0.2412  0.00
Pr 0.0000 0.7500 0.3605  0.00
Ir 0.3010 0.7500 0.9427  -0.01
Ga 0.5000 0.2500 0.2805  0.00
Ir 0.5000 0.0000 0.5000  0.17
Pr 0.5000 0.7500 0.2081  0.00
Ga 0.5000 0.7500 0.7195  0.00

Calculated values
DOS at the Fermi energy: 0.887 states/eV/atom
Space group: Pmma (51)
E_form: -32 meV/atom